SrTlSe2 after structural relaxation. Source: Alexandria via LeMat-Bulk, functional PBEsol.

Magnetic moment   0.0 μB per cell
Energy relative to the elements, uncorrected   -1.10 eV per atom
Calculated volume   220 Å³ per cell
Total DFT energy (no corrections)   -4.140 eV per atom

Unit cell a=4.365 b=4.075 c=12.343 alpha=90.00 beta=90.00 gamma=90.00
Space group Amm2 (No. 38)
Inequivalent atoms, fractional coordinates:
Sr: 0.000 0.000 0.000 x2
Tl: 0.500 0.000 0.241 x2
Se: 0.000 0.000 0.712 x2
Se: 0.500 0.000 0.460 x2

SrWSe2 after structural relaxation. Source: Alexandria via LeMat-Bulk, functional PBEsol.

Magnetic moment   0.0 μB per cell
Energy relative to the elements, uncorrected   -0.28 eV per atom
Energy above the lowest structure with this stoichiometry   0.2633 eV/atom
Calculated volume   77 Å³ per cell
Total DFT energy (no corrections)   -6.118 eV per atom

Unit cell a=3.268 b=3.268 c=7.215 alpha=90.00 beta=90.00 gamma=90.00
Space group P4/mmm (No. 123)
Inequivalent atoms, fractional coordinates:
Sr: 0.000 0.000 0.000 x1
W: 0.000 0.000 0.500 x1
Se: 0.500 0.500 0.295 x2

SrWSe2 after structural relaxation. Source: Alexandria via LeMat-Bulk, functional PBEsol.

Magnetic moment   0.0 μB per cell
Energy relative to the elements, uncorrected   -0.25 eV per atom
Energy above the lowest structure with this stoichiometry   0.2980 eV/atom
Calculated volume   459 Å³ per cell
Total DFT energy (no corrections)   -6.083 eV per atom

Unit cell a=5.825 b=5.825 c=13.534 alpha=90.00 beta=90.00 gamma=90.00
Space group I-42d (No. 122)
Inequivalent atoms, fractional coordinates:
Sr: 0.000 0.000 0.000 x4
W: 0.000 0.000 0.500 x4
Se: 0.158 0.250 0.625 x8

SrW2Se after structural relaxation. Source: Alexandria via LeMat-Bulk, functional PBEsol.

Magnetic moment   0.0 μB per cell
Energy relative to the elements, uncorrected   0.54 eV per atom
Calculated volume   170 Å³ per cell
Total DFT energy (no corrections)   -7.790 eV per atom

Unit cell a=11.683 b=3.125 c=5.022 alpha=90.00 beta=111.64 gamma=90.00
Space group C2/m (No. 12)
Inequivalent atoms, fractional coordinates:
Sr: 0.000 0.000 0.000 x2
W: 0.211 0.000 0.639 x4
Se: 0.000 0.500 0.500 x2